DFT (PBE) results for a relaxed structure of TlCu2Rh.

Geometry as POSCAR:
```
TlCu2Rh
1.0
3.0109 0.0000 0.0000
0.0000 3.7416 0.0000
0.0000 0.0000 5.5889
Tl Cu Rh
1 2 1
Direct
0.0000 0.0000 0.0000
0.5000 0.5000 0.2817
0.5000 0.5000 0.7183
0.0000 0.0000 0.5000
```

Calculated values
magnetic moment: 0.00 μB per atom
energy relative to the elements: 214 meV per atom
V: 15.7 A^3/atom
offset from the most stable computed form: 129 meV per atom
DFT total energy: -17.05 eV/f.u.